First-principles (PBE) data for a relaxed Li2TiAsO crystal, as listed in the Alexandria database.

Total energy   -5.729 eV/atom
Total moment   0.088 μB/atom
Space group   P4/mmm
Crystal system   tetragonal

abc: 3.8664 3.8664 4.1026
angles: 90.00 90.00 90.00
Positions (direct):
As 0.5000 0.5000 0.5000
Li 0.0000 0.5000 0.0000
Li 0.5000 0.0000 0.0000
O 0.0000 0.0000 0.0000
Ti 0.0000 0.0000 0.5000